1.
AlTeS4 | PBE | optimized geometry

Summary:
* crystal system: monoclinic
* total magnetization: 0.00 μB per cell
* formation energy (no corrections): -0.315 eV/atom

Cell: 13.557 3.566 6.196 Å, 90.00 96.75 90.00°
Space group C2/m (No. 12)
One atom of each set of equivalent atoms:
Al: 0.000 0.000 0.000
Te: 0.000 0.500 0.500
S: 0.103 0.500 0.876
S: 0.111 0.000 0.339

---

2.
Al2TeS5 | PBE | optimized geometry

Summary:
* crystal system: orthorhombic
* total magnetization: 0.00 μB per cell
* formation energy (no corrections): -0.464 eV/atom

Cell: 5.111 16.618 11.081 Å, 90.00 90.00 90.00°
Space group Cmcm (No. 63)
One atom of each set of equivalent atoms:
Al: 0.000 0.191 0.047
Te: 0.000 0.187 0.750
S: 0.000 0.087 0.587
S: 0.000 0.235 0.250
S: 0.000 0.307 0.560

---

3.
AlTeS2 | PBE | optimized geometry

Summary:
* crystal system: cubic
* total magnetization: 0.00 μB per cell
* formation energy (no corrections): 0.302 eV/atom

Cell: 6.712 6.712 6.712 Å, 90.00 90.00 90.00°
Space group Fm-3m (No. 225)
One atom of each set of equivalent atoms:
Al: 0.000 0.000 0.000
Te: 0.000 0.000 0.500
S: 0.250 0.250 0.250